Here is a relaxed structure of Y2CrF from the Alexandria database. Energies are from GGA+U.

Geometry as POSCAR:
```
Y2CrF
1.0
-3.901 3.111 5.167
-6.028 -1.811 -3.461
-5.066 -2.560 2.709
Y F Cr
4 2 2
Cartesian
-4.109 0.799 3.011
-11.947 -0.621 3.835
-8.064 -1.595 2.361
-5.872 -1.104 -0.377
-8.029 -1.861 0.050
-4.965 0.650 0.853
-6.966 0.600 4.365
0.000 0.000 0.000
```

Computed properties:
**Energy relative to the lowest polymorph listed for this composition**: 0 meV per atom
**Crystal system**: tetragonal
**Electronic total energy**: -6.4717 eV/atom
**Total magnetic moment**: 3.595 μB/f.u.